Density functional theory data (GGA-PBE) for an optimized crystal structure of Ac3ReN6.

Results
**D(E_F)**: 16.788 states/eV per cell
**Energy relative to the elements, uncorrected**: -0.46 eV per atom
**Uncorrected energy**: -158.6 eV/cell
**V**: 16.46 Å³ per atom

CIF file:
```
data_Ac3ReN6
_chemical_formula_sum 'Ac6 Re2 N12'
_cell_length_a 6.057
_cell_length_b 6.292
_cell_length_c 10.477
_cell_angle_alpha 90.00
_cell_angle_beta 124.44
_cell_angle_gamma 90.00
_space_group_name_H-M_alt 'P 1 21/c 1'
_space_group_IT_number 14
loop_
_space_group_symop_operation_xyz
'x,y,z'
'-x,-y,-z'
'-x,y+1/2,-z+1/2'
'x,-y+1/2,z+1/2'
loop_
_atom_site_label
_atom_site_type_symbol
_atom_site_fract_x
_atom_site_fract_y
_atom_site_fract_z
Ac1 Ac 0.000 0.000 0.000
Ac2 Ac 0.263 0.050 0.746
Re1 Re 0.500 0.000 0.500
N1 N 0.181 0.048 0.283
N2 N 0.280 0.676 0.046
N3 N 0.392 0.237 0.066
```

Density functional theory data (GGA-PBE) for an optimized crystal structure of AcReN2.

Results
**D(E_F)**: 5.546 states/eV per cell
**Energy relative to the elements, uncorrected**: 0.32 eV per atom
**Uncorrected energy**: -95.7 eV/cell
**V**: 16.46 Å³ per atom

CIF file:
```
data_AcReN2
_chemical_formula_sum 'Ac3 Re3 N6'
_cell_length_a 3.4526
_cell_length_b 3.4526
_cell_length_c 19.1281
_cell_angle_alpha 90.00
_cell_angle_beta 90.00
_cell_angle_gamma 120.00
_space_group_name_H-M_alt 'R -3 m'
_space_group_IT_number 166
_space_group_name_Hall '-R 3 2"'
loop_
_atom_site_label
_atom_site_type_symbol
_atom_site_fract_x
_atom_site_fract_y
_atom_site_fract_z
Ac1 Ac 0.0000 0.0000 0.0000
Re1 Re 0.0000 0.0000 0.5000
N1 N 0.0000 0.0000 0.1279
```